No. 1
Below is an optimized crystal structure of LaNd2Cd6, with properties calculated at the PBE level.

## Properties
**Formation energy from the elements**: -3.19 eV per formula unit
**N(E_F)**: 8.1 states/eV per cell
**Crystal system**: hexagonal

Cell lengths 8.851, 8.851, 3.483 Å; angles 90.00, 90.00, 120.00 degrees
Fractional positions:
La  0.000  0.000  0.000
Nd  0.333  0.667  0.000
Nd  0.667  0.333  0.000
Cd  0.000  0.335  0.500
Cd  0.000  0.665  0.500
Cd  0.335  0.000  0.500
Cd  0.335  0.335  0.500
Cd  0.665  0.000  0.500
Cd  0.665  0.665  0.500

No. 2
Below is an optimized crystal structure of La8Nd3Cd, with properties calculated at the PBE level.

## Properties
**Formation energy from the elements**: -0.06 eV per formula unit
**N(E_F)**: 19.7 states/eV per cell
**Crystal system**: triclinic

Cell lengths 5.866, 9.081, 9.568 Å; angles 65.60, 72.17, 71.21 degrees
Fractional positions:
La  0.000  0.000  0.000
La  0.068  0.296  0.577
La  0.158  0.521  0.161
La  0.299  0.975  0.433
La  0.456  0.497  0.598
La  0.647  0.991  0.720
La  0.808  0.510  0.878
La  0.911  0.754  0.431
Nd  0.390  0.204  0.017
Nd  0.545  0.744  0.165
Nd  0.727  0.251  0.297
Cd  0.229  0.751  0.797

No. 3
Below is an optimized crystal structure of La2NdCd3, with properties calculated at the PBE level.

## Properties
**Formation energy from the elements**: -1.94 eV per formula unit
**N(E_F)**: 8.2 states/eV per cell
**Crystal system**: tetragonal

Cell lengths 3.905, 3.905, 11.774 Å; angles 90.00, 90.00, 90.00 degrees
Fractional positions:
La  0.000  0.000  0.170
La  0.000  0.000  0.830
Nd  0.000  0.000  0.500
Cd  0.500  0.500  0.000
Cd  0.500  0.500  0.341
Cd  0.500  0.500  0.659

No. 4
Below is an optimized crystal structure of LaNd4Cd3, with properties calculated at the PBE level.

## Properties
**Formation energy from the elements**: -1.37 eV per formula unit
**N(E_F)**: 11.3 states/eV per cell
**Crystal system**: trigonal

Cell lengths 9.831, 9.831, 9.831 Å; angles 32.44, 32.44, 32.44 degrees
Fractional positions:
La  0.000  0.000  0.000
Nd  0.131  0.131  0.131
Nd  0.385  0.385  0.385
Nd  0.615  0.615  0.615
Nd  0.869  0.869  0.869
Cd  0.258  0.258  0.258
Cd  0.500  0.500  0.500
Cd  0.742  0.742  0.742